Computed, not measured: an optimized crystal structure of SrNp2ZnO8 at the PBE level of DFT.

Lattice parameters (Å, degrees): 5.0493 5.0493 6.9749 90.00 90.00 94.56
Closest atoms and distances in Å follow each position.
Sites, in units of the cell vectors:
Sr1 0.0000 0.0000 0.0000  6 O 2.44-2.47
Np1 0.5000 0.5000 0.2574  6 O 1.96-2.18
Np2 0.5000 0.5000 0.7426  6 O 1.96-2.18
Zn1 0.0000 0.0000 0.5000  4 O 2.12
O1 0.2143 0.2143 0.2803  1 Np 1.96, 1 Zn 2.12
O2 0.2143 0.2143 0.7197  1 Np 1.96, 1 Zn 2.12
O3 0.3237 0.6763 0.5000  2 Np 2.14
O4 0.3323 0.6677 0.0000  2 Np 2.18
O5 0.6677 0.3323 0.0000  2 Np 2.18
O6 0.6763 0.3237 0.5000  2 Np 2.14
O7 0.7857 0.7857 0.2803  1 Np 1.96, 1 Zn 2.12
O8 0.7857 0.7857 0.7197  1 Np 1.96, 1 Zn 2.12

As for the energy relative to the elements, uncorrected: -2.567 eV/atom. Its space group is Cmmm.